(1)
Entry from the Alexandria database: an optimized crystal structure of KZnRe2 (PBE).

It has space group Pmmm (No. 47), with a = 2.7329 Å, b = 4.8441 Å, c = 5.4408 Å, α = 90.00°, β = 90.00° and γ = 90.00°. Symmetry generates all atoms from K at (0.0000, 0.0000, 0.0000), Zn at (0.5000, 0.5000, 0.0000), Re at (0.0000, 0.5000, 0.5000) and Re at (0.5000, 0.0000, 0.5000).

The formation energy comes out at 1.21 eV per atom.

***

(2)
Entry from the Alexandria database: an optimized crystal structure of KZnRe2 (PBE).

It has space group Immm (No. 71), with a = 2.6550 Å, b = 4.8628 Å, c = 11.1045 Å, α = 90.00°, β = 90.00° and γ = 90.00°. Symmetry generates all atoms from K at (0.0000, 0.0000, 0.0000), Zn at (0.0000, 0.0000, 0.5000) and Re at (0.0000, 0.5000, 0.2153).

The formation energy comes out at 0.90 eV per atom.